A plane-wave DFT calculation with PBE-GGA was carried out for crystalline CoPt2Br at its relaxed geometry.

The space-group type is Pmm2 (25). Its density of states at the Fermi level is 4.33 states/eV per cell. The size of the total moment is 2.58 μB/f.u. The relative energy among the computed polymorphs comes out at 152 meV per atom. Its raw formation energy is 0.44 eV/atom.

Cell: 3.0357 3.3681 6.7157 Å, 90.00 90.00 90.00°
Closest atoms and distances in Å follow each position.
Fractional positions:
Br 0.0000 0.0000 0.5247  4 Co 2.89, 2 Br 3.04, 5 Pt 3.05-3.13
Co 0.5000 0.5000 0.7928  5 Pt 2.59-2.76, 4 Br 2.89
Pt 0.0000 0.0000 0.9787  4 Co 2.59, 4 Pt 2.72
Pt 0.5000 0.5000 0.2038  6 Pt 2.72-3.04, 1 Co 2.76